The following is a DFT calculation (PBE-GGA) of crystalline LaInNi at its relaxed geometry.

crystal system = monoclinic
DFT formation energy = -0.4012 eV/atom

Unit cell a=5.292 b=4.359 c=6.298 alpha=90.00 beta=101.80 gamma=90.00
Space group P2_1/m (No. 11)
Unique sites:
La 0.092 0.250 0.266 [2 per cell]
In 0.413 0.250 0.820 [2 per cell]
Ni 0.384 0.750 0.537 [2 per cell]


The following is a DFT calculation (PBE-GGA) of crystalline Ba2CaSi3Au12 at its relaxed geometry.

formation energy without anion corrections = -210 meV per atom
crystal system = trigonal

Unit cell a=8.9791 b=8.9791 c=19.9148 alpha=90.00 beta=90.00 gamma=120.00
Space group R-3m (No. 166, hexagonal axes)
Unique sites:
Ba 0.0000 0.0000 0.1044 [6 per cell]
Ca 0.0000 0.0000 0.5000 [3 per cell]
Si 0.0000 0.5000 0.0000 [9 per cell]
Au 0.0143 0.5071 0.8761 [18 per cell]
Au 0.0376 0.5188 0.3335 [18 per cell]


The following is a DFT calculation (PBE-GGA) of crystalline Na3Mo2H9 at its relaxed geometry.

crystal system = trigonal

Unit cell a=9.5017 b=9.5017 c=10.6625 alpha=90.00 beta=90.00 gamma=120.00
Space group R-3c (No. 167, hexagonal axes)
Unique sites:
Na 0.0000 0.3269 0.2500 [18 per cell]
Mo 0.0000 0.0000 0.1200 [12 per cell]
H 0.0000 0.1457 0.7500 [18 per cell]
H 0.0062 0.1817 0.4173 [36 per cell]


The following is a DFT calculation (PBE-GGA) of crystalline CeHfNi2 at its relaxed geometry.

crystal system = trigonal
energy relative to the lowest polymorph listed for this composition = 1.366 kcal/mol of atoms
DFT formation energy = -0.3028 eV/atom

Unit cell a=4.4354 b=4.4354 c=13.3267 alpha=90.00 beta=90.00 gamma=120.00
Space group R-3m (No. 166, hexagonal axes)
Unique sites:
Ce 0.0000 0.0000 0.0000 [3 per cell]
Hf 0.0000 0.0000 0.5000 [3 per cell]
Ni 0.0000 0.0000 0.2116 [6 per cell]


The following is a DFT calculation (PBE-GGA) of crystalline MnNbSn2 at its relaxed geometry.

crystal system = trigonal
energy relative to the lowest polymorph listed for this composition = 4.715 kcal/mol of atoms
DFT formation energy = 0.3462 eV/atom

Unit cell a=3.1634 b=3.1634 c=30.4294 alpha=90.00 beta=90.00 gamma=120.00
Space group R-3m (No. 166, hexagonal axes)
Unique sites:
Mn 0.0000 0.0000 0.0000 [3 per cell]
Nb 0.0000 0.0000 0.5000 [3 per cell]
Sn 0.0000 0.0000 0.0889 [6 per cell]


The following is a DFT calculation (PBE-GGA) of crystalline VHgTe2 at its relaxed geometry.

formation energy without anion corrections = 32 meV per atom
crystal system = monoclinic

Unit cell a=6.704 b=5.240 c=11.537 alpha=90.00 beta=107.91 gamma=90.00
Space group P2_1/c (No. 14)
Unique sites:
V 0.162 0.115 0.479 [4 per cell]
Hg 0.135 0.129 0.742 [4 per cell]
Te 0.205 0.629 0.569 [4 per cell]
Te 0.422 0.619 0.864 [4 per cell]


no.,DFT total energy (eV per atom)
1,-4.884
2,-3.624
3,-3.998
4,-7.165
5,-6.465
6,-3.894